Rb3As2Cl8: optimized geometry, PBE.

Unit cell a=7.120 b=8.205 c=9.634 alpha=65.35 beta=68.41 gamma=64.41
Positions (direct):
Rb (0.000, 0.000, 0.000)
Rb (0.248, 0.155, 0.347)
Rb (0.752, 0.845, 0.653)
As (0.441, 0.446, 0.673)
As (0.559, 0.554, 0.327)
Cl (0.202, 0.741, 0.340)
Cl (0.246, 0.808, 0.695)
Cl (0.293, 0.250, 0.661)
Cl (0.366, 0.308, 0.967)
Cl (0.634, 0.692, 0.033)
Cl (0.707, 0.750, 0.339)
Cl (0.754, 0.192, 0.305)
Cl (0.798, 0.259, 0.660)

## Properties
The value obtained for the density of states at the Fermi level is 0.98 states/eV per cell. As for the total energy: -41.94 eV/cell.

Rb3AsCl6: optimized geometry, PBE.

Unit cell a=7.933 b=7.933 c=7.933 alpha=60.00 beta=60.00 gamma=60.00
Positions (direct):
Rb (0.000, 0.000, 0.000)
Rb (0.250, 0.250, 0.250)
Rb (0.750, 0.750, 0.750)
As (0.500, 0.500, 0.500)
Cl (0.276, 0.276, 0.724)
Cl (0.276, 0.724, 0.276)
Cl (0.276, 0.724, 0.724)
Cl (0.724, 0.276, 0.276)
Cl (0.724, 0.276, 0.724)
Cl (0.724, 0.724, 0.276)

## Properties
The value obtained for the density of states at the Fermi level is 0.00 states/eV per cell. As for the total energy: -32.86 eV/cell.

RbAsCl4: optimized geometry, PBE.

Unit cell a=10.684 b=10.684 c=7.406 alpha=90.00 beta=90.00 gamma=152.43
Positions (direct):
Rb (0.082, 0.918, 0.750)
Rb (0.918, 0.082, 0.250)
As (0.398, 0.602, 0.750)
As (0.602, 0.398, 0.250)
Cl (0.088, 0.912, 0.250)
Cl (0.325, 0.675, 0.520)
Cl (0.325, 0.675, 0.980)
Cl (0.500, 0.500, 0.000)
Cl (0.500, 0.500, 0.500)
Cl (0.675, 0.325, 0.020)
Cl (0.675, 0.325, 0.480)
Cl (0.912, 0.088, 0.750)

## Properties
As for the total energy: -39.43 eV/cell.

Rb2AsCl4: optimized geometry, PBE.

Unit cell a=8.886 b=8.886 c=8.886 alpha=144.91 beta=144.91 gamma=50.47
Positions (direct):
Rb (0.136, 0.136, 0.000)
Rb (0.864, 0.864, 0.000)
As (0.500, 0.500, 0.000)
Cl (0.000, 0.500, 0.500)
Cl (0.341, 0.341, 0.000)
Cl (0.500, 0.000, 0.500)
Cl (0.659, 0.659, 0.000)

## Properties
The value obtained for the density of states at the Fermi level is 2.23 states/eV per cell. As for the total energy: -22.81 eV/cell.

Rb2As2Cl: optimized geometry, PBE.

Unit cell a=10.353 b=10.353 c=10.353 alpha=158.32 beta=158.32 gamma=30.85
Positions (direct):
Rb (0.099, 0.099, 0.000)
Rb (0.901, 0.901, 0.000)
As (0.250, 0.750, 0.500)
As (0.750, 0.250, 0.500)
Cl (0.500, 0.500, 0.000)

## Properties
The value obtained for the density of states at the Fermi level is 1.29 states/eV per cell. As for the total energy: -17.30 eV/cell.

Rb3AsCl6: optimized geometry, PBE.

Unit cell a=7.675 b=8.045 c=13.348 alpha=90.00 beta=124.46 gamma=90.00
Positions (direct):
Rb (0.000, 0.000, 0.000)
Rb (0.000, 0.500, 0.500)
Rb (0.274, 0.069, 0.751)
Rb (0.274, 0.431, 0.251)
Rb (0.726, 0.569, 0.749)
Rb (0.726, 0.931, 0.249)
As (0.500, 0.000, 0.500)
As (0.500, 0.500, 0.000)
Cl (0.179, 0.037, 0.285)
Cl (0.179, 0.463, 0.785)
Cl (0.284, 0.672, 0.051)
Cl (0.284, 0.828, 0.551)
Cl (0.399, 0.237, 0.061)
Cl (0.399, 0.263, 0.561)
Cl (0.601, 0.737, 0.439)
Cl (0.601, 0.763, 0.939)
Cl (0.716, 0.172, 0.449)
Cl (0.716, 0.328, 0.949)
Cl (0.821, 0.537, 0.215)
Cl (0.821, 0.963, 0.715)

## Properties
The value obtained for the density of states at the Fermi level is 0.00 states/eV per cell. As for the total energy: -66.55 eV/cell.

Rb2AsRhCl6: optimized geometry, PBE.

Unit cell a=7.162 b=7.162 c=7.162 alpha=120.06 beta=120.06 gamma=89.90
Positions (direct):
Rb (0.250, 0.750, 0.500)
Rb (0.750, 0.250, 0.500)
As (0.000, 0.000, 0.000)
Rh (0.500, 0.500, 0.000)
Cl (0.255, 0.255, 0.000)
Cl (0.255, 0.255, 0.509)
Cl (0.255, 0.745, 0.000)
Cl (0.745, 0.255, 0.000)
Cl (0.745, 0.745, 0.000)
Cl (0.745, 0.745, 0.491)

## Properties
The value obtained for the density of states at the Fermi level is 3.74 states/eV per cell. As for the total energy: -35.20 eV/cell.

RbAsRu2Cl: optimized geometry, PBE.

Unit cell a=4.498 b=4.498 c=5.614 alpha=90.00 beta=90.00 gamma=90.00
Positions (direct):
Rb (0.000, 0.000, 0.000)
As (0.500, 0.500, 0.000)
Ru (0.000, 0.500, 0.500)
Ru (0.500, 0.000, 0.500)
Cl (0.000, 0.000, 0.500)

## Properties
The value obtained for the density of states at the Fermi level is 6.08 states/eV per cell. As for the total energy: -20.46 eV/cell.